Arrangement w

Computed, not measured: crystalline BiPd4Au at its relaxed geometry at the GGA-PBE level of DFT.

The space group is F-43m (No. 216) and the conventional cell measures 7.586, 7.586 and 7.586 Å, with angles of 90.00, 90.00 and 90.00 degrees. The distinct sites, in fractional coordinates, are Bi at (0.000, 0.000, 0.000), Pd at (0.125, 0.125, 0.375) and Au at (0.250, 0.250, 0.750).

***

Arrangement x

Computed, not measured: crystalline BiPd4Au at its relaxed geometry at the GGA-PBE level of DFT.

The space group is C2/m (No. 12) and the conventional cell measures 4.991, 8.772 and 4.957 Å, with angles of 90.00, 105.74 and 90.00 degrees. The distinct sites, in fractional coordinates, are Bi at (0.000, 0.000, 0.000), Pd at (0.000, 0.170, 0.500), Pd at (0.000, 0.335, 0.000) and Au at (0.000, 0.500, 0.500).

***

Quick look at relative energies in meV/atom: arrangement w 139; arrangement x 0.

***

Arrangement w

Computed, not measured: crystalline BiPdAu3 at its relaxed geometry at the GGA-PBE level of DFT.

The space group is Pm-3m (No. 221) and the conventional cell measures 5.022, 5.022 and 5.022 Å, with angles of 90.00, 90.00 and 90.00 degrees. The distinct sites, in fractional coordinates, are Bi at (0.000, 0.000, 0.000), Pd at (0.500, 0.500, 0.500) and Au at (0.000, 0.500, 0.500).

***

Arrangement x

Computed, not measured: crystalline BiPdAu3 at its relaxed geometry at the GGA-PBE level of DFT.

The space group is Pm-3m (No. 221) and the conventional cell measures 5.299, 5.299 and 5.299 Å, with angles of 90.00, 90.00 and 90.00 degrees. The distinct sites, in fractional coordinates, are Bi at (0.000, 0.000, 0.000), Pd at (0.500, 0.500, 0.500) and Au at (0.000, 0.000, 0.500).

***

Quick look at relative energies in meV/atom: arrangement w 0; arrangement x 317.

***

Arrangement w

Computed, not measured: crystalline BiPd3Au2 at its relaxed geometry at the GGA-PBE level of DFT.

The space group is Cmmm (No. 65) and the conventional cell measures 4.229, 12.702 and 4.021 Å, with angles of 90.00, 90.00 and 90.00 degrees. The distinct sites, in fractional coordinates, are Bi at (0.000, 0.000, 0.000), Pd at (0.000, 0.168, 0.500), Pd at (0.000, 0.500, 0.500) and Au at (0.000, 0.327, 0.000).

***

Arrangement x

Computed, not measured: crystalline BiPd3Au2 at its relaxed geometry at the GGA-PBE level of DFT.

The space group is P-3m1 (No. 164) and the conventional cell measures 4.6688, 4.6688 and 5.7255 Å, with angles of 90.00, 90.00 and 120.00 degrees. The distinct sites, in fractional coordinates, are Bi at (0.0000, 0.0000, 0.0000), Pd at (0.0000, 0.0000, 0.5000), Pd at (0.3333, 0.6667, 0.1616) and Au at (0.3333, 0.6667, 0.6496).

***

Quick look at relative energies in meV/atom: arrangement w 7; arrangement x 0.

***

Arrangement w

Computed, not measured: crystalline BiPd6Au2 at its relaxed geometry at the GGA-PBE level of DFT.

The space group is C2/m (No. 12) and the conventional cell measures 8.963, 4.175 and 8.576 Å, with angles of 90.00, 106.62 and 90.00 degrees. The distinct sites, in fractional coordinates, are Bi at (0.000, 0.000, 0.000), Pd at (0.011, 0.000, 0.339), Pd at (0.158, 0.500, 0.885), Pd at (0.161, 0.500, 0.554) and Au at (0.186, 0.500, 0.240).

***

Arrangement x

Computed, not measured: crystalline BiPd6Au2 at its relaxed geometry at the GGA-PBE level of DFT.

The space group is C2/c (No. 15) and the conventional cell measures 16.258, 7.515 and 5.191 Å, with angles of 90.00, 97.54 and 90.00 degrees. The distinct sites, in fractional coordinates, are Bi at (0.000, 0.203, 0.250), Pd at (0.075, 0.454, 0.648), Pd at (0.099, 0.116, 0.852), Pd at (0.171, 0.224, 0.383) and Au at (0.227, 0.424, 0.962).

***

Quick look at relative energies in meV/atom: arrangement w 0; arrangement x 62.

***

Arrangement w

Computed, not measured: crystalline Bi4PdAu2 at its relaxed geometry at the GGA-PBE level of DFT.

The space group is C2/m (No. 12) and the conventional cell measures 13.452, 4.400 and 7.573 Å, with angles of 90.00, 123.23 and 90.00 degrees. The distinct sites, in fractional coordinates, are Bi at (0.109, 0.000, 0.456), Bi at (0.123, 0.500, 0.958), Pd at (0.000, 0.000, 0.000) and Au at (0.243, 0.500, 0.729).

***

Arrangement x

Computed, not measured: crystalline Bi4PdAu2 at its relaxed geometry at the GGA-PBE level of DFT.

The space group is R-3m (No. 166, hexagonal axes) and the conventional cell measures 4.7261, 4.7261 and 28.9977 Å, with angles of 90.00, 90.00 and 120.00 degrees. The distinct sites, in fractional coordinates, are Bi at (0.0000, 0.0000, 0.1257), Bi at (0.0000, 0.0000, 0.2976), Pd at (0.0000, 0.0000, 0.5000) and Au at (0.0000, 0.0000, 0.4039).

***

Quick look at relative energies in meV/atom: arrangement w 0; arrangement x 16.

***

Arrangement w

Computed, not measured: crystalline BiPd5Au6 at its relaxed geometry at the GGA-PBE level of DFT.

The space group is Cmmm (No. 65) and the conventional cell measures 4.147, 12.333 and 8.274 Å, with angles of 90.00, 90.00 and 90.00 degrees. The distinct sites, in fractional coordinates, are Bi at (0.000, 0.000, 0.000), Pd at (0.000, 0.000, 0.500), Pd at (0.000, 0.333, 0.000), Pd at (0.000, 0.333, 0.500), Au at (0.000, 0.170, 0.259) and Au at (0.000, 0.500, 0.269).

***

Arrangement x

Computed, not measured: crystalline BiPd5Au6 at its relaxed geometry at the GGA-PBE level of DFT.

The space group is Immm (No. 71) and the conventional cell measures 4.205, 8.208 and 12.262 Å, with angles of 90.00, 90.00 and 90.00 degrees. The distinct sites, in fractional coordinates, are Bi at (0.000, 0.000, 0.000), Pd at (0.000, 0.000, 0.323), Pd at (0.000, 0.500, 0.000), Pd at (0.000, 0.500, 0.343), Au at (0.000, 0.224, 0.500) and Au at (0.000, 0.265, 0.171).

***

Quick look at relative energies in meV/atom: arrangement w 11; arrangement x 0.

***

Arrangement w

Computed, not measured: crystalline Pm2BiAu at its relaxed geometry at the GGA-PBE level of DFT.

The space group is Fm-3m (No. 225) and the conventional cell measures 7.638, 7.638 and 7.638 Å, with angles of 90.00, 90.00 and 90.00 degrees. The distinct sites, in fractional coordinates, are Pm at (0.250, 0.250, 0.250), Bi at (0.000, 0.000, 0.000) and Au at (0.000, 0.000, 0.500).

***

Arrangement x

Computed, not measured: crystalline Pm2BiAu at its relaxed geometry at the GGA-PBE level of DFT.

The space group is P4/mmm (No. 123) and the conventional cell measures 5.256, 5.256 and 4.050 Å, with angles of 90.00, 90.00 and 90.00 degrees. The distinct sites, in fractional coordinates, are Pm at (0.000, 0.500, 0.000), Bi at (0.000, 0.000, 0.500) and Au at (0.500, 0.500, 0.500).

***

Arrangement y

Computed, not measured: crystalline Pm2BiAu at its relaxed geometry at the GGA-PBE level of DFT.

The space group is R-3m (No. 166, hexagonal axes) and the conventional cell measures 4.4343, 4.4343 and 22.0416 Å, with angles of 90.00, 90.00 and 120.00 degrees. The distinct sites, in fractional coordinates, are Pm at (0.0000, 0.0000, 0.2442), Bi at (0.0000, 0.0000, 0.0000) and Au at (0.0000, 0.0000, 0.5000).

***

Quick look at relative energies in meV/atom: arrangement w 36; arrangement x 11; arrangement y 0.

***

Arrangement w

Computed, not measured: crystalline PmBiAu6 at its relaxed geometry at the GGA-PBE level of DFT.

The space group is Pmm2 (No. 25) and the conventional cell measures 4.779, 5.830 and 6.226 Å, with angles of 90.00, 90.00 and 90.00 degrees. The distinct sites, in fractional coordinates, are Pm at (0.000, 0.000, 0.000), Bi at (0.500, 0.500, 0.201), Au at (0.000, 0.251, 0.462), Au at (0.000, 0.500, 0.870), Au at (0.500, 0.000, 0.341) and Au at (0.500, 0.246, 0.752).

***

Arrangement x

Computed, not measured: crystalline PmBiAu6 at its relaxed geometry at the GGA-PBE level of DFT.

The space group is Pm-3 (No. 200) and the conventional cell measures 5.573, 5.573 and 5.573 Å, with angles of 90.00, 90.00 and 90.00 degrees. The distinct sites, in fractional coordinates, are Pm at (0.000, 0.000, 0.000), Bi at (0.500, 0.500, 0.500) and Au at (0.000, 0.248, 0.500).

***

Quick look at relative energies in meV/atom: arrangement w 0; arrangement x 37.

***

Arrangement w

Computed, not measured: crystalline PmBi2Au at its relaxed geometry at the GGA-PBE level of DFT.

The space group is R-3m (No. 166, hexagonal axes) and the conventional cell measures 5.1197, 5.1197 and 23.9988 Å, with angles of 90.00, 90.00 and 120.00 degrees. The distinct sites, in fractional coordinates, are Pm at (0.0000, 0.0000, 0.0000), Bi at (0.0000, 0.0000, 0.3876) and Au at (0.0000, 0.0000, 0.5000).

***

Arrangement x

Computed, not measured: crystalline PmBi2Au at its relaxed geometry at the GGA-PBE level of DFT.

The space group is P4/nmm (No. 129, origin choice 2) and the conventional cell measures 4.713, 4.713 and 9.836 Å, with angles of 90.00, 90.00 and 90.00 degrees. The distinct sites, in fractional coordinates, are Pm at (0.250, 0.250, 0.230), Bi at (0.250, 0.250, 0.805), Bi at (0.250, 0.750, 0.500) and Au at (0.250, 0.750, 0.000).

***

Quick look at relative energies in meV/atom: arrangement w 678; arrangement x 0.

***

Arrangement w

Computed, not measured: crystalline PrBiAu2 at its relaxed geometry at the GGA-PBE level of DFT.

The space group is Fm-3m (No. 225) and the conventional cell measures 7.357, 7.357 and 7.357 Å, with angles of 90.00, 90.00 and 90.00 degrees. The distinct sites, in fractional coordinates, are Pr at (0.000, 0.000, 0.000), Bi at (0.000, 0.000, 0.500) and Au at (0.250, 0.250, 0.250).

***

Arrangement x

Computed, not measured: crystalline PrBiAu2 at its relaxed geometry at the GGA-PBE level of DFT.

The space group is P4/mmm (No. 123) and the conventional cell measures 4.686, 4.686 and 4.495 Å, with angles of 90.00, 90.00 and 90.00 degrees. The distinct sites, in fractional coordinates, are Pr at (0.000, 0.000, 0.000), Bi at (0.500, 0.500, 0.000) and Au at (0.000, 0.500, 0.500).

***

Quick look at relative energies in meV/atom: arrangement w 0; arrangement x 81.

***

Arrangement w

Computed, not measured: crystalline PrBiAu4 at its relaxed geometry at the GGA-PBE level of DFT.

The space group is F-43m (No. 216) and the conventional cell measures 8.134, 8.134 and 8.134 Å, with angles of 90.00, 90.00 and 90.00 degrees. The distinct sites, in fractional coordinates, are Pr at (0.000, 0.000, 0.000), Bi at (0.250, 0.250, 0.750) and Au at (0.125, 0.125, 0.375).

***

Arrangement x

Computed, not measured: crystalline PrBiAu4 at its relaxed geometry at the GGA-PBE level of DFT.

The space group is P6/mmm (No. 191) and the conventional cell measures 4.9102, 4.9102 and 6.5790 Å, with angles of 90.00, 90.00 and 120.00 degrees. The distinct sites, in fractional coordinates, are Pr at (0.0000, 0.0000, 0.0000), Bi at (0.0000, 0.0000, 0.5000) and Au at (0.3333, 0.6667, 0.2450).

***

Quick look at relative energies in meV/atom: arrangement w 0; arrangement x 8.

***

Arrangement w

Computed, not measured: crystalline Bi4PtAu at its relaxed geometry at the GGA-PBE level of DFT.

The space group is I4_1md (No. 109) and the conventional cell measures 9.099, 9.099 and 9.029 Å, with angles of 90.00, 90.00 and 90.00 degrees. The distinct sites, in fractional coordinates, are Bi at (0.000, 0.302, 0.000), Bi at (0.000, 0.308, 0.484), Pt at (0.000, 0.000, 0.991) and Au at (0.000, 0.000, 0.493).

***

Arrangement x

Computed, not measured: crystalline Bi4PtAu at its relaxed geometry at the GGA-PBE level of DFT.

The space group is P2_1/c (No. 14) and the conventional cell measures 6.944, 6.940 and 6.934 Å, with angles of 90.00, 90.33 and 90.00 degrees. The distinct sites, in fractional coordinates, are Bi at (0.120, 0.133, 0.135), Bi at (0.363, 0.626, 0.122), Pt at (0.000, 0.000, 0.500) and Au at (0.500, 0.000, 0.000).

***

Quick look at relative energies in meV/atom: arrangement w 211; arrangement x 0.